No. 1
Material: ScTcIr2
Method: DFT, PBE
State: relaxed

ρ = 14.1 Mg/m³
energy above the most stable polymorph in this dataset = 87.2 meV per atom
formation energy = -0.367 eV per atom

Cell: 4.0073 4.0073 3.8638 Å, 90.00 90.00 90.00°
With the nearest neighbours (Å) after each atom.
Space group P4/mmm (No. 123)
Symmetry-distinct sites (fractional):
Sc 0.0000 0.0000 0.0000  8 Ir 2.78, 4 Tc 2.83
Tc 0.5000 0.5000 0.0000  8 Ir 2.78, 4 Sc 2.83
Ir 0.0000 0.5000 0.5000  4 Sc 2.78, 4 Tc 2.78, 4 Ir 2.83



No. 2
Material: Sc4TcIr
Method: DFT, PBE
State: relaxed

ρ = 6.0 Mg/m³
energy above the most stable polymorph in this dataset = 0.0 meV per atom
formation energy = -0.346 eV per atom

Cell: 4.5057 4.5057 6.3834 Å, 90.00 90.00 90.00°
With the nearest neighbours (Å) after each atom.
Space group P4/mmm (No. 123)
Symmetry-distinct sites (fractional):
Sc 0.0000 0.5000 0.2465  2 Tc 2.75, 2 Ir 2.77
Tc 0.0000 0.0000 0.0000  8 Sc 2.75
Ir 0.5000 0.5000 0.5000  8 Sc 2.77



No. 3
Material: ThScTcIr
Method: DFT, PBE
State: relaxed

ρ = 11.8 Mg/m³
formation energy = -0.514 eV per atom

Cell: 6.8262 6.8262 6.8262 Å, 90.00 90.00 90.00°
With the nearest neighbours (Å) after each atom.
Space group F-43m (No. 216)
Symmetry-distinct sites (fractional):
Th 0.0000 0.0000 0.0000  4 Tc 2.96, 4 Ir 2.96
Sc 0.0000 0.0000 0.5000  4 Tc 2.96, 4 Ir 2.96
Tc 0.2500 0.2500 0.7500  4 Th 2.96, 4 Sc 2.96
Ir 0.2500 0.2500 0.2500  4 Th 2.96, 4 Sc 2.96



No. 4
Material: ScVTcIr2
Method: DFT, PBE
State: relaxed

ρ = 10.6 Mg/m³
formation energy = 1.683 eV per atom

Cell: 4.5624 4.5624 4.3380 Å, 90.00 90.00 90.00°
With the nearest neighbours (Å) after each atom.
Space group P4/mmm (No. 123)
Symmetry-distinct sites (fractional):
Sc 0.0000 0.0000 0.0000  2 V 2.17, 4 Ir 2.28
V 0.0000 0.0000 0.5000  2 Sc 2.17
Tc 0.5000 0.5000 0.5000  8 Ir 3.15, 4 V 3.23
Ir 0.0000 0.5000 0.0000  2 Sc 2.28



No. 5
Material: ScVTcIr
Method: DFT, PBE
State: relaxed

ρ = 10.6 Mg/m³
formation energy = -0.519 eV per atom

Cell: 6.2357 6.2357 6.2357 Å, 90.00 90.00 90.00°
With the nearest neighbours (Å) after each atom.
Space group F-43m (No. 216)
Symmetry-distinct sites (fractional):
Sc 0.0000 0.0000 0.0000  4 Ir 2.70, 4 Tc 2.70
V 0.0000 0.0000 0.5000  4 Tc 2.70, 4 Ir 2.70
Tc 0.2500 0.2500 0.2500  4 Sc 2.70, 4 V 2.70
Ir 0.2500 0.2500 0.7500  4 V 2.70, 4 Sc 2.70



No. 6
Material: ScTcIrW
Method: DFT, PBE
State: relaxed

ρ = 13.5 Mg/m³
formation energy = -0.325 eV per atom

Cell: 6.3372 6.3372 6.3372 Å, 90.00 90.00 90.00°
With the nearest neighbours (Å) after each atom.
Space group F-43m (No. 216)
Symmetry-distinct sites (fractional):
Sc 0.0000 0.0000 0.0000  4 Tc 2.74, 4 Ir 2.74
Tc 0.2500 0.2500 0.7500  4 W 2.74, 4 Sc 2.74
Ir 0.2500 0.2500 0.2500  4 W 2.74, 4 Sc 2.74
W 0.0000 0.0000 0.5000  4 Ir 2.74, 4 Tc 2.74



No. 7
Material: Sc2TeIr
Method: DFT, PBE
State: relaxed

ρ = 8.7 Mg/m³
uncorrected formation energy = -0.26 eV per atom

Cell: 6.7941 6.7941 6.7941 Å, 90.00 90.00 90.00°
With the nearest neighbours (Å) after each atom.
Space group F-43m (No. 216)
Symmetry-distinct sites (fractional):
Sc 0.0000 0.0000 0.0000  4 Ir 2.94, 4 Sc 2.94
Sc 0.2500 0.2500 0.2500  4 Sc 2.94, 4 Te 2.94
Te 0.0000 0.0000 0.5000  4 Sc 2.94, 4 Ir 2.94
Ir 0.2500 0.2500 0.7500  4 Te 2.94, 4 Sc 2.94



No. 8
Material: ScTeIr2
Method: DFT, PBE
State: relaxed

ρ = 12.9 Mg/m³
uncorrected formation energy = -0.29 eV per atom

Cell: 3.4676 3.4676 5.9548 Å, 90.00 90.00 90.00°
With the nearest neighbours (Å) after each atom.
Space group P4/mmm (No. 123)
Symmetry-distinct sites (fractional):
Sc 0.0000 0.0000 0.0000  8 Ir 2.85, 2 Te 2.98
Te 0.0000 0.0000 0.5000  8 Ir 2.88, 2 Sc 2.98
Ir 0.5000 0.5000 0.2448  4 Sc 2.85, 4 Te 2.88, 2 Ir 2.92-3.04



Question: Which of these has the highest ρ?
Answer: ScTcIr2



Question: Which of these has the lowest ρ?
Answer: Sc4TcIr